Entry 1:
Below is an optimized crystal structure of SmTm2In2Ag2, with properties calculated at the PBE level.

Cell and atoms, written as POSCAR:
```
SmTm2In2Ag2
1.0
4.8582 0.0000 0.0000
2.4291 4.2074 0.0000
2.4291 1.4025 8.8136
Sm Tm In Ag
1 2 2 2
Direct
0.0000 0.0000 0.0000
0.1275 0.1275 0.6174
0.8725 0.8725 0.3826
0.7425 0.7425 0.7726
0.2575 0.2575 0.2274
0.5942 0.5942 0.2173
0.4058 0.4058 0.7827
```

Output
**Calculated formation energy**: -274 meV per atom
**Crystal system**: trigonal
**V**: 25.74 Å³/atom
**DOS at the Fermi energy**: 0.70 states/eV/atom
**Total moment**: 0.00 μB per cell


Entry 2:
Below is an optimized crystal structure of TbPr6Y2Ho, with properties calculated at the PBE level.

Cell and atoms, written as POSCAR:
```
TbPr6Y2Ho
1.0
9.2155 -1.9925 -2.0678
0.8684 8.7684 -2.0218
0.8684 -2.3454 8.6875
Tb Pr Y Ho
2 12 4 2
Direct
0.2500 0.9692 0.0308
0.7500 0.0308 0.9692
0.0562 0.1148 0.7647
0.4438 0.2353 0.8852
0.9438 0.8852 0.2353
0.5562 0.7647 0.1148
0.3105 0.9942 0.4369
0.1895 0.5631 0.0058
0.6895 0.0058 0.5631
0.8105 0.4369 0.9942
0.1162 0.7066 0.4838
0.3838 0.5162 0.2934
0.8838 0.2934 0.5162
0.6162 0.4838 0.7066
0.4517 0.7981 0.7039
0.0483 0.2961 0.2019
0.5483 0.2019 0.2961
0.9517 0.7039 0.7981
0.2500 0.4120 0.5880
0.7500 0.5880 0.4120
```

Output
**Calculated formation energy**: 116 meV per atom
**Crystal system**: monoclinic
**V**: 34.84 Å³/atom
**DOS at the Fermi energy**: 1.50 states/eV/atom
**Total moment**: 0.00 μB per cell


Entry 3:
Below is an optimized crystal structure of PtRh2, with properties calculated at the PBE level.

Cell and atoms, written as POSCAR:
```
PtRh2
1.0
3.7730 -6.5351 0.0000
3.7730 6.5351 0.0000
0.0000 0.0000 2.7169
Pt Rh
3 6
Direct
0.0000 0.0000 0.5000
0.3333 0.6667 0.0000
0.6667 0.3333 0.0000
0.0000 0.3050 0.0000
0.0000 0.6387 0.5000
0.3050 0.0000 0.0000
0.6950 0.6950 0.0000
0.6387 0.0000 0.5000
0.3613 0.3613 0.5000
```

Output
**Calculated formation energy**: 96 meV per atom
**Crystal system**: hexagonal
**V**: 14.89 Å³/atom
**DOS at the Fermi energy**: 2.01 states/eV/atom
**Total moment**: 0.00 μB per cell


Entry 4:
Below is an optimized crystal structure of SbTeS2, with properties calculated at the PBE level.

Cell and atoms, written as POSCAR:
```
SbTeS2
1.0
-2.8437 1.6584 3.6892
-4.7747 0.9935 -0.8137
-3.4957 -2.9161 1.9297
Sb S Te
1 2 1
Direct
0.0000 0.0000 0.0000
0.2500 0.2500 0.2500
0.7500 0.7500 0.7500
0.5000 0.5000 0.5000
```

Output
**Energy relative to the elements, uncorrected**: 372 meV per atom
**Crystal system**: cubic
**V**: 21.37 Å³/atom
**DOS at the Fermi energy**: 0.78 states/eV/atom
**Total moment**: 0.00 μB per cell


Entry 5:
Below is an optimized crystal structure of RbAl2PtI, with properties calculated at the PBE level.

Cell and atoms, written as POSCAR:
```
RbAl2PtI
1.0
-0.8501 -4.7892 -0.0530
0.7145 -0.2019 6.7848
-4.7623 0.8395 0.5265
I Rb Pt Al
1 1 1 2
Direct
0.5000 0.5000 0.5000
0.0000 0.5000 0.0000
0.0000 0.0000 0.0000
0.0000 0.0000 0.5000
0.5000 0.0000 0.0000
```

Output
**Energy relative to the elements, uncorrected**: -498 meV per atom
**Crystal system**: tetragonal
**V**: 32.30 Å³/atom
**DOS at the Fermi energy**: 0.20 states/eV/atom
**Total moment**: 0.00 μB per cell


Entry 6:
Below is an optimized crystal structure of AcAl2Ga4Cu, with properties calculated at the PBE level.

Cell and atoms, written as POSCAR:
```
AcAl2Ga4Cu
1.0
-0.3307 -2.4699 3.8437
3.2811 0.2697 3.1852
-3.3408 5.9034 6.2356
Ac Al Ga Cu
1 2 4 1
Direct
0.0000 0.0000 0.0000
0.7611 0.7611 0.7167
0.2389 0.2389 0.2833
0.4058 0.4058 0.7827
0.8653 0.8653 0.4042
0.1347 0.1347 0.5958
0.5942 0.5942 0.2173
0.5000 0.5000 0.5000
```

Output
**Calculated formation energy**: -198 meV per atom
**Crystal system**: trigonal
**V**: 20.05 Å³/atom
**DOS at the Fermi energy**: 0.35 states/eV/atom
**Total moment**: 0.00 μB per cell


Entry 7:
Below is an optimized crystal structure of PrNd3SmTh, with properties calculated at the PBE level.

Cell and atoms, written as POSCAR:
```
PrNd3SmTh
1.0
-4.2430 -2.8063 0.9310
1.6073 -4.6124 -6.5782
4.3157 -3.3586 9.5447
Pr Nd Sm Th
2 6 2 2
Direct
0.2500 0.1174 0.2957
0.7500 0.8826 0.7043
0.7500 0.8726 0.0449
0.2500 0.1274 0.9551
0.2500 0.6353 0.4562
0.7500 0.3647 0.5438
0.7500 0.3805 0.2084
0.2500 0.6195 0.7916
0.2500 0.6288 0.1297
0.7500 0.3712 0.8703
0.2500 0.1212 0.6211
0.7500 0.8788 0.3789
```

Output
**Calculated formation energy**: 33 meV per atom
**Crystal system**: monoclinic
**V**: 34.73 Å³/atom
**DOS at the Fermi energy**: 1.49 states/eV/atom
**Total moment**: 0.00 μB per cell


Entry 8:
Below is an optimized crystal structure of Mg2AsPt2, with properties calculated at the PBE level.

Cell and atoms, written as POSCAR:
```
Mg2AsPt2
1.0
7.5923 0.0000 0.0000
0.0000 7.5923 0.0000
0.0000 0.0000 2.9833
As Mg Pt
2 4 4
Direct
0.0000 0.0000 0.0000
0.5000 0.5000 0.0000
0.1488 0.6488 0.5000
0.6488 0.8512 0.5000
0.8512 0.3512 0.5000
0.3512 0.1488 0.5000
0.3516 0.8516 0.0000
0.8516 0.6484 0.0000
0.6484 0.1484 0.0000
0.1484 0.3516 0.0000
```

Output
**Calculated formation energy**: -552 meV per atom
**Crystal system**: tetragonal
**V**: 17.20 Å³/atom
**DOS at the Fermi energy**: 0.48 states/eV/atom
**Total moment**: 0.00 μB per cell